[1]
# LaNdSbCl2 | OQMD | PBE-GGA | relaxed
# total energy: -5.253 eV per atom
data_LaNdSbCl2
_chemical_formula_sum 'La1 Nd1 Sb1 Cl2'
_space_group_name_H-M_alt 'P 3 m 1'
_space_group_IT_number 156
_cell_length_a 4.3577
_cell_length_b 4.3577
_cell_length_c 10.8151
_cell_angle_alpha 90.00
_cell_angle_beta 90.00
_cell_angle_gamma 120.00
loop_
_space_group_symop_operation_xyz
'x,y,z'
'-y,x-y,z'
'-x+y,-x,z'
'-y,-x,z'
'-x+y,y,z'
'x,x-y,z'
loop_
_atom_site_label
_atom_site_type_symbol
_atom_site_fract_x
_atom_site_fract_y
_atom_site_fract_z
La1 La 0.0000 0.0000 0.0000
Nd1 Nd 0.3333 0.6667 0.3415
Sb1 Sb 0.6667 0.3333 0.1742
Cl1 Cl 0.0000 0.0000 0.4837
Cl2 Cl 0.3333 0.6667 0.8544


[2]
# LaNdSi2Cl2 | OQMD | PBE-GGA | relaxed
# total energy: -5.485 eV per atom
data_LaNdSi2Cl2
_chemical_formula_sum 'La1 Nd1 Si2 Cl2'
_space_group_name_H-M_alt 'P 3 m 1'
_space_group_IT_number 156
_cell_length_a 4.1126
_cell_length_b 4.1126
_cell_length_c 11.0773
_cell_angle_alpha 90.00
_cell_angle_beta 90.00
_cell_angle_gamma 120.00
loop_
_space_group_symop_operation_xyz
'x,y,z'
'-y,x-y,z'
'-x+y,-x,z'
'-y,-x,z'
'-x+y,y,z'
'x,x-y,z'
loop_
_atom_site_label
_atom_site_type_symbol
_atom_site_fract_x
_atom_site_fract_y
_atom_site_fract_z
La1 La 0.0000 0.0000 0.0000
Nd1 Nd 0.0000 0.0000 0.6301
Si1 Si 0.3333 0.6667 0.8051
Si2 Si 0.6667 0.3333 0.8202
Cl1 Cl 0.3333 0.6667 0.1570
Cl2 Cl 0.6667 0.3333 0.4778


[3]
# LaNdSnCl2 | OQMD | PBE-GGA | relaxed
# total energy: -5.051 eV per atom
data_LaNdSnCl2
_chemical_formula_sum 'La1 Nd1 Sn1 Cl2'
_space_group_name_H-M_alt 'P 3 m 1'
_space_group_IT_number 156
_cell_length_a 4.4391
_cell_length_b 4.4391
_cell_length_c 10.0443
_cell_angle_alpha 90.00
_cell_angle_beta 90.00
_cell_angle_gamma 120.00
loop_
_space_group_symop_operation_xyz
'x,y,z'
'-y,x-y,z'
'-x+y,-x,z'
'-y,-x,z'
'-x+y,y,z'
'x,x-y,z'
loop_
_atom_site_label
_atom_site_type_symbol
_atom_site_fract_x
_atom_site_fract_y
_atom_site_fract_z
La1 La 0.0000 0.0000 0.0000
Nd1 Nd 0.3333 0.6667 0.6305
Sn1 Sn 0.6667 0.3333 0.8127
Cl1 Cl 0.0000 0.0000 0.4859
Cl2 Cl 0.3333 0.6667 0.1479